Record 1
Here is ScTlSe2 at its PBEsol-relaxed geometry from the Alexandria database. Energies are from SCAN.

## Properties
VASP energy in eV/atom: -32.575
Formation energy from raw total energies in kJ/mol of formula units: -342

a b c (Å): 3.9454 3.9454 23.4041
angles (deg): 90.00 90.00 120.00
Space group R3m (No. 160, hexagonal axes)
Symmetry-distinct sites (fractional):
1 Sc 0.0000 0.0000 0.0000 (multiplicity 3)
2 Tl 0.0000 0.0000 0.2414 (multiplicity 3)
3 Se 0.0000 0.0000 0.5117 (multiplicity 3)
4 Se 0.0000 0.0000 0.7189 (multiplicity 3)

Record 2
Here is ScTl3Se at its PBEsol-relaxed geometry from the Alexandria database. Energies are from SCAN.

## Properties
VASP energy in eV/atom: -49.901
Formation energy from raw total energies in kJ/mol of formula units: 182

a b c (Å): 5.5362 5.5362 5.5362
angles (deg): 90.00 90.00 90.00
Space group Pm-3m (No. 221)
Symmetry-distinct sites (fractional):
1 Sc 0.0000 0.0000 0.0000 (multiplicity 1)
2 Tl 0.0000 0.0000 0.5000 (multiplicity 3)
3 Se 0.5000 0.5000 0.5000 (multiplicity 1)

Record 3
Here is Sc2TlSe at its PBEsol-relaxed geometry from the Alexandria database. Energies are from SCAN.

## Properties
VASP energy in eV/atom: -31.009
Excess energy over the best structure of this formula in the dataset in meV per atom: 332
Formation energy from raw total energies in kJ/mol of formula units: -302

a b c (Å): 6.6260 7.5740 3.4434
angles (deg): 90.00 102.00 90.00
Space group C2/m (No. 12)
Symmetry-distinct sites (fractional):
1 Sc 0.2500 0.2500 0.0000 (multiplicity 4)
2 Tl 0.0000 0.0000 0.5000 (multiplicity 2)
3 Se 0.0000 0.5000 0.5000 (multiplicity 2)

Record 4
Here is Sc2TlSe at its PBEsol-relaxed geometry from the Alexandria database. Energies are from SCAN.

## Properties
VASP energy in eV/atom: -31.086
Excess energy over the best structure of this formula in the dataset in meV per atom: 256
Formation energy from raw total energies in kJ/mol of formula units: -331

a b c (Å): 3.4717 4.3173 11.7211
angles (deg): 90.00 90.00 90.00
Space group Imm2 (No. 44)
Symmetry-distinct sites (fractional):
1 Sc 0.0000 0.0000 0.0000 (multiplicity 2)
2 Sc 0.0000 0.5000 0.2323 (multiplicity 2)
3 Tl 0.0000 0.5000 0.8091 (multiplicity 2)
4 Se 0.0000 0.0000 0.5542 (multiplicity 2)

Record 5
Here is Sc2TlSe at its PBEsol-relaxed geometry from the Alexandria database. Energies are from SCAN.

## Properties
VASP energy in eV/atom: -31.342
Excess energy over the best structure of this formula in the dataset in meV per atom: 0
Formation energy from raw total energies in kJ/mol of formula units: -430

a b c (Å): 3.6514 3.6514 22.6270
angles (deg): 90.00 90.00 120.00
Space group R-3m (No. 166, hexagonal axes)
Symmetry-distinct sites (fractional):
1 Sc 0.0000 0.0000 0.2372 (multiplicity 6)
2 Tl 0.0000 0.0000 0.0000 (multiplicity 3)
3 Se 0.0000 0.0000 0.5000 (multiplicity 3)

Record 6
Here is ScTlSe2 at its PBEsol-relaxed geometry from the Alexandria database. Energies are from SCAN.

## Properties
VASP energy in eV/atom: -32.923
Formation energy from raw total energies in kJ/mol of formula units: -477

a b c (Å): 3.5091 3.7663 15.4835
angles (deg): 90.00 90.00 90.00
Space group Imm2 (No. 44)
Symmetry-distinct sites (fractional):
1 Sc 0.0000 0.0000 0.0000 (multiplicity 2)
2 Tl 0.0000 0.5000 0.2390 (multiplicity 2)
3 Se 0.0000 0.0000 0.4330 (multiplicity 2)
4 Se 0.0000 0.5000 0.6272 (multiplicity 2)

Record 7
Here is Sc2TlSe at its PBEsol-relaxed geometry from the Alexandria database. Energies are from SCAN.

## Properties
VASP energy in eV/atom: -30.757
Excess energy over the best structure of this formula in the dataset in meV per atom: 584
Formation energy from raw total energies in kJ/mol of formula units: -204

a b c (Å): 3.5345 3.5345 26.8108
angles (deg): 90.00 90.00 120.00
Space group R3m (No. 160, hexagonal axes)
Symmetry-distinct sites (fractional):
1 Sc 0.0000 0.0000 0.0000 (multiplicity 3)
2 Sc 0.0000 0.0000 0.2387 (multiplicity 3)
3 Tl 0.0000 0.0000 0.7546 (multiplicity 3)
4 Se 0.0000 0.0000 0.5106 (multiplicity 3)

Record 8
Here is Sc4TlSe at its PBEsol-relaxed geometry from the Alexandria database. Energies are from SCAN.

## Properties
VASP energy in eV/atom: -24.825
Formation energy from raw total energies in kJ/mol of formula units: 42

a b c (Å): 8.1213 8.1213 8.1213
angles (deg): 90.00 90.00 90.00
Space group F-43m (No. 216)
Symmetry-distinct sites (fractional):
1 Sc 0.1242 0.1242 0.3758 (multiplicity 16)
2 Tl 0.2500 0.2500 0.7500 (multiplicity 4)
3 Se 0.0000 0.0000 0.0000 (multiplicity 4)

Record 9
Here is Sc2TlSe at its PBEsol-relaxed geometry from the Alexandria database. Energies are from SCAN.

## Properties
VASP energy in eV/atom: -30.272
Excess energy over the best structure of this formula in the dataset in meV per atom: 1070
Formation energy from raw total energies in kJ/mol of formula units: -17

a b c (Å): 7.0713 7.0713 7.0713
angles (deg): 90.00 90.00 90.00
Space group F-43m (No. 216)
Symmetry-distinct sites (fractional):
1 Sc 0.0000 0.0000 0.0000 (multiplicity 4)
2 Sc 0.2500 0.2500 0.2500 (multiplicity 4)
3 Tl 0.0000 0.0000 0.5000 (multiplicity 4)
4 Se 0.2500 0.2500 0.7500 (multiplicity 4)

Record 10
Here is Sc2WSe at its PBEsol-relaxed geometry from the Alexandria database. Energies are from SCAN.

## Properties
VASP energy in eV/atom: -29.853
Formation energy from raw total energies in kJ/mol of formula units: -113

a b c (Å): 4.5832 4.5832 3.3855
angles (deg): 90.00 90.00 90.00
Space group P4/mmm (No. 123)
Symmetry-distinct sites (fractional):
1 Sc 0.0000 0.5000 0.0000 (multiplicity 2)
2 W 0.0000 0.0000 0.5000 (multiplicity 1)
3 Se 0.5000 0.5000 0.5000 (multiplicity 1)

Record 11
Here is Sc2WSe at its PBEsol-relaxed geometry from the Alexandria database. Energies are from SCAN.

## Properties
VASP energy in eV/atom: -29.801
Formation energy from raw total energies in kJ/mol of formula units: -93

a b c (Å): 10.3365 3.1201 4.8006
angles (deg): 90.00 106.12 90.00
Space group Cm (No. 8)
Symmetry-distinct sites (fractional):
1 Sc 0.0000 0.0000 0.0000 (multiplicity 2)
2 Sc 0.2130 0.0000 0.6533 (multiplicity 2)
3 W 0.4568 0.0000 0.4805 (multiplicity 2)
4 Se 0.2661 0.5000 0.1771 (multiplicity 2)

Record 12
Here is Sc3WSe at its PBEsol-relaxed geometry from the Alexandria database. Energies are from SCAN.

## Properties
VASP energy in eV/atom: -26.221
Formation energy from raw total energies in kJ/mol of formula units: 133

a b c (Å): 4.8186 4.8186 4.8186
angles (deg): 90.00 90.00 90.00
Space group Pm-3m (No. 221)
Symmetry-distinct sites (fractional):
1 Sc 0.0000 0.0000 0.5000 (multiplicity 3)
2 W 0.5000 0.5000 0.5000 (multiplicity 1)
3 Se 0.0000 0.0000 0.0000 (multiplicity 1)

Question: formation energy from raw total energies of number 11 (Sc2WSe)?
Answer: -93 kJ/mol of formula units

Question: What is the VASP energy in the eleventh record?
Answer: -29.801 eV/atom

What did the second record say?
Here is ScTl3Se at its PBEsol-relaxed geometry from the Alexandria database. Energies are from SCAN.

## Properties
VASP energy in eV/atom: -49.901
Formation energy from raw total energies in kJ/mol of formula units: 182

a b c (Å): 5.5362 5.5362 5.5362
angles (deg): 90.00 90.00 90.00
Space group Pm-3m (No. 221)
Symmetry-distinct sites (fractional):
1 Sc 0.0000 0.0000 0.0000 (multiplicity 1)
2 Tl 0.0000 0.0000 0.5000 (multiplicity 3)
3 Se 0.5000 0.5000 0.5000 (multiplicity 1)

Question: Number 8 is which compound?
Answer: Sc4TlSe